[1]
# PBE MnSbPdRu, optimized geometry
data_MnSbPdRu
_cell_length_a 6.3467
_cell_length_b 6.3467
_cell_length_c 6.3467
_cell_angle_alpha 90.00
_cell_angle_beta 90.00
_cell_angle_gamma 90.00
_space_group_name_H-M_alt 'F -4 3 m'
_space_group_IT_number 216
_space_group_name_Hall 'F -4 2 3'
loop_
_atom_site_label
_atom_site_fract_x
_atom_site_fract_y
_atom_site_fract_z
_atom_site_occupancy
Mn1 0.0000 0.0000 0.0000 1
Sb1 0.0000 0.0000 0.5000 1
Pd1 0.2500 0.2500 0.2500 1
Ru1 0.2500 0.2500 0.7500 1
# ρ = 9.982 Mg/m³
# electronic total energy = -7.0479 eV/atom
# M_tot = 15.91 μB per cell
# density of states at the Fermi level = 0.908 states/eV/atom

---

[2]
# PBE BiSbTe2C, optimized geometry
data_BiSbTe2C
_cell_length_a 4.9036
_cell_length_b 4.9036
_cell_length_c 4.9132
_cell_angle_alpha 90.00
_cell_angle_beta 90.00
_cell_angle_gamma 90.00
_space_group_name_H-M_alt 'P 4/m m m'
_space_group_IT_number 123
_space_group_name_Hall '-P 4 2'
loop_
_atom_site_label
_atom_site_fract_x
_atom_site_fract_y
_atom_site_fract_z
_atom_site_occupancy
Bi1 0.0000 0.0000 0.0000 1
Sb1 0.5000 0.5000 0.0000 1
Te1 0.0000 0.5000 0.5000 1
C1 0.5000 0.5000 0.5000 1
# ρ = 8.405 Mg/m³
# electronic total energy = -3.8321 eV/atom
# M_tot = 0.00 μB per cell
# offset from the most stable computed form = 0.000 eV per atom
# density of states at the Fermi level = 0.708 states/eV/atom

---

[3]
# PBE Tb12YHo3, optimized geometry
data_Tb12YHo3
_cell_length_a 5.0295
_cell_length_b 5.0295
_cell_length_c 20.1013
_cell_angle_alpha 90.00
_cell_angle_beta 90.00
_cell_angle_gamma 90.00
_space_group_name_H-M_alt 'P 4/m m m'
_space_group_IT_number 123
_space_group_name_Hall '-P 4 2'
loop_
_atom_site_label
_atom_site_fract_x
_atom_site_fract_y
_atom_site_fract_z
_atom_site_occupancy
Tb1 0.0000 0.0000 0.0000 1
Tb2 0.0000 0.0000 0.2496 1
Tb3 0.0000 0.0000 0.5000 1
Tb4 0.0000 0.5000 0.1249 1
Tb5 0.0000 0.5000 0.3743 1
Y1 0.5000 0.5000 0.5000 1
Ho1 0.5000 0.5000 0.0000 1
Ho2 0.5000 0.5000 0.2497 1
# ρ = 8.134 Mg/m³
# electronic total energy = -4.7177 eV/atom
# M_tot = 0.00 μB per cell
# formation energy from the elements = 1.7 kJ/mol of atoms
# density of states at the Fermi level = 1.330 states/eV/atom

---

What did the first record say?
# PBE MnSbPdRu, optimized geometry
data_MnSbPdRu
_cell_length_a 6.3467
_cell_length_b 6.3467
_cell_length_c 6.3467
_cell_angle_alpha 90.00
_cell_angle_beta 90.00
_cell_angle_gamma 90.00
_space_group_name_H-M_alt 'F -4 3 m'
_space_group_IT_number 216
_space_group_name_Hall 'F -4 2 3'
loop_
_atom_site_label
_atom_site_fract_x
_atom_site_fract_y
_atom_site_fract_z
_atom_site_occupancy
Mn1 0.0000 0.0000 0.0000 1
Sb1 0.0000 0.0000 0.5000 1
Pd1 0.2500 0.2500 0.2500 1
Ru1 0.2500 0.2500 0.7500 1
# ρ = 9.982 Mg/m³
# electronic total energy = -7.0479 eV/atom
# M_tot = 15.91 μB per cell
# density of states at the Fermi level = 0.908 states/eV/atom

---

> Among the records above, which one has the highest M_tot?

MnSbPdRu

---

> density of states at the Fermi level of number 1 (MnSbPdRu)?

0.908 states/eV/atom